## DyHfZr2 (GGA-PBE)

Data for crystalline DyHfZr2 at its relaxed geometry.

Lattice parameters (Å, degrees): 3.2733 3.2733 31.8672 90.00 90.00 120.00
Space group R3m (No. 160, hexagonal axes)
Unique sites:
1 Dy 0.0000 0.0000 0.0000
2 Hf 0.0000 0.0000 0.1672
3 Zr 0.0000 0.0000 0.5795
4 Zr 0.0000 0.0000 0.7551

Results
* magnetization: 0.000 μB/atom
* energy relative to the elements: 88 meV per atom
* VASP energy: -7.82 eV per atom

## VMoPt3 (GGA-PBE)

Data for crystalline VMoPt3 at its relaxed geometry.

Lattice parameters (Å, degrees): 4.605 4.605 4.605 90.00 90.00 90.00
Space group Pm-3m (No. 221)
Unique sites:
1 V 0.000 0.000 0.000
2 Mo 0.500 0.500 0.500
3 Pt 0.000 0.000 0.500

Results
* magnetization: 0.608 μB/atom
* energy relative to the elements: 981 meV per atom
* VASP energy: -6.63 eV per atom

## TlIr2Cl (GGA-PBE)

Data for crystalline TlIr2Cl at its relaxed geometry.

Lattice parameters (Å, degrees): 6.011 7.714 3.027 90.00 90.00 90.00
Space group Cmmm (No. 65)
Unique sites:
1 Tl 0.000 0.000 0.000
2 Ir 0.250 0.250 0.500
3 Cl 0.000 0.500 0.000

Results
* magnetization: 0.000 μB/atom
* E_form (uncorrected): 1084 meV/atom
* VASP energy: -4.40 eV per atom

## Na4Tm3SnSe8 (GGA-PBE)

Data for crystalline Na4Tm3SnSe8 at its relaxed geometry.

Lattice parameters (Å, degrees): 14.239 8.221 8.467 90.00 124.15 90.00
Space group C2/m (No. 12)
Unique sites:
1 Na 0.000 0.000 0.000
2 Na 0.000 0.500 0.000
3 Na 0.250 0.250 0.000
4 Tm 0.000 0.000 0.500
5 Tm 0.250 0.250 0.500
6 Sn 0.000 0.500 0.500
7 Se 0.008 0.248 0.274
8 Se 0.242 0.000 0.727
9 Se 0.243 0.500 0.726

Results
* magnetization: 0.000 μB/atom
* E_form (uncorrected): -1442 meV/atom
* VASP energy: -4.60 eV per atom

## InWAu2 (GGA-PBE)

Data for crystalline InWAu2 at its relaxed geometry.

Lattice parameters (Å, degrees): 2.920 5.082 9.959 90.00 90.00 90.00
Space group Imm2 (No. 44)
Unique sites:
1 In 0.000 0.000 0.000
2 W 0.000 0.500 0.752
3 Au 0.000 0.000 0.492
4 Au 0.000 0.500 0.249

Results
* magnetization: 0.125 μB/atom
* energy relative to the elements: 415 meV per atom
* VASP energy: -5.15 eV per atom

## BaTi2RhF (GGA-PBE)

Data for crystalline BaTi2RhF at its relaxed geometry.

Lattice parameters (Å, degrees): 4.511 4.511 7.235 90.00 90.00 90.00
Space group P4/mmm (No. 123)
Unique sites:
1 Ba 0.000 0.000 0.000
2 Ti 0.000 0.500 0.500
3 Rh 0.500 0.500 0.500
4 F 0.500 0.500 0.000

Results
* magnetization: 0.000 μB/atom
* E_form (uncorrected): -285 meV/atom
* VASP energy: -5.67 eV per atom